# 1
This record from the Alexandria database describes a geometry-optimized Tb3Sm2In structure. The functional is PBE-GGA.

The structure in POSCAR format:
```
Tb3Sm2In
1.0
-1.726 8.747 3.222
1.726 -8.747 3.222
1.726 8.747 -3.222
Tb Sm In
3 2 1
direct
0.000 0.000 0.000 Tb
0.147 0.785 0.362 Tb
0.424 0.785 0.638 Tb
0.602 0.289 0.313 Sm
0.977 0.289 0.687 Sm
0.572 0.072 0.500 In
```

Calculated values
spin magnetization = 0.0 Bohr magnetons per cell
offset from the most stable computed form = 0.259 eV per atom
electronic total energy = -25.43 eV/f.u.

***

# 2
This record from the Alexandria database describes a geometry-optimized K3CoRh3S8 structure. The functional is PBE-GGA.

The structure in POSCAR format:
```
K3CoRh3S8
1.0
3.613 2.086 7.024
-3.613 2.086 7.024
0.000 -4.171 7.024
K Co Rh S
3 1 3 8
direct
0.000 0.500 0.500 K
0.500 0.000 0.500 K
0.500 0.500 0.000 K
0.500 0.500 0.500 Co
0.000 0.000 0.500 Rh
0.000 0.500 0.000 Rh
0.500 0.000 0.000 Rh
0.222 0.222 0.222 S
0.231 0.715 0.715 S
0.285 0.285 0.769 S
0.285 0.769 0.285 S
0.715 0.231 0.715 S
0.715 0.715 0.231 S
0.769 0.285 0.285 S
0.778 0.778 0.778 S
```

Calculated values
spin magnetization = 0.5 Bohr magnetons per cell
electronic total energy = -75.41 eV/f.u.
formation energy from raw total energies = -15.3 kcal/mol of atoms

***

# 3
This record from the Alexandria database describes a geometry-optimized VZnPH2 structure. The functional is PBE-GGA.

The structure in POSCAR format:
```
VZnPH2
1.0
3.550 0.000 0.000
0.000 3.550 0.000
0.000 0.000 4.736
V Zn P H
1 1 1 2
direct
0.000 0.000 0.000 V
0.500 0.500 0.500 Zn
0.000 0.000 0.500 P
0.000 0.500 0.000 H
0.500 0.000 0.000 H
```

Calculated values
spin magnetization = 1.6 Bohr magnetons per cell
electronic total energy = -21.94 eV/f.u.

***

# 4
This record from the Alexandria database describes a geometry-optimized AcLaTeO6 structure. The functional is PBE-GGA.

The structure in POSCAR format:
```
AcLaTeO6
1.0
5.968 0.000 0.000
-2.984 5.169 0.000
0.000 0.000 9.458
Ac La Te O
2 2 2 12
direct
0.333 0.667 0.250 Ac
0.667 0.333 0.750 Ac
0.000 0.000 0.000 La
0.000 0.000 0.500 La
0.333 0.667 0.750 Te
0.667 0.333 0.250 Te
0.069 0.385 0.633 O
0.069 0.684 0.867 O
0.316 0.385 0.867 O
0.316 0.931 0.633 O
0.385 0.069 0.133 O
0.385 0.316 0.367 O
0.615 0.684 0.633 O
0.615 0.931 0.867 O
0.684 0.069 0.367 O
0.684 0.615 0.133 O
0.931 0.316 0.133 O
0.931 0.615 0.367 O
```

Calculated values
spin magnetization = 0.0 Bohr magnetons per cell
electronic total energy = -63.31 eV/f.u.
formation energy from raw total energies = -54.8 kcal/mol of atoms

***

# 5
This record from the Alexandria database describes a geometry-optimized ZnCrRu2 structure. The functional is PBE-GGA.

The structure in POSCAR format:
```
ZnCrRu2
1.0
2.696 0.000 0.000
0.000 2.696 0.000
0.000 0.000 7.512
Zn Cr Ru
1 1 2
direct
0.000 0.000 0.000 Zn
0.500 0.500 0.254 Cr
0.000 0.000 0.499 Ru
0.500 0.500 0.742 Ru
```

Calculated values
spin magnetization = 1.5 Bohr magnetons per cell
electronic total energy = -28.77 eV/f.u.

***

# 6
This record from the Alexandria database describes a geometry-optimized TiCu2SnAs structure. The functional is PBE-GGA.

The structure in POSCAR format:
```
TiCu2SnAs
1.0
4.641 0.000 0.000
0.000 4.641 0.000
0.000 0.000 5.462
Ti Cu Sn As
1 2 1 1
direct
0.000 0.000 0.000 Ti
0.000 0.500 0.500 Cu
0.500 0.000 0.500 Cu
0.500 0.500 0.500 Sn
0.500 0.500 0.000 As
```

Calculated values
spin magnetization = 0.0 Bohr magnetons per cell
electronic total energy = -19.71 eV/f.u.

***

# 7
This record from the Alexandria database describes a geometry-optimized AgPdBr4 structure. The functional is PBE-GGA.

The structure in POSCAR format:
```
AgPdBr4
1.0
6.132 -1.983 0.000
6.132 1.983 0.000
-2.915 0.000 6.942
Ag Pd Br
1 1 4
direct
0.000 0.000 0.000 Ag
0.500 0.500 0.500 Pd
0.139 0.139 0.484 Br
0.396 0.396 0.139 Br
0.604 0.604 0.861 Br
0.861 0.861 0.516 Br
```

Calculated values
spin magnetization = 0.0 Bohr magnetons per cell
electronic total energy = -16.20 eV/f.u.
formation energy from raw total energies = -5.6 kcal/mol of atoms

***

# 8
This record from the Alexandria database describes a geometry-optimized Y3HfHg structure. The functional is PBE-GGA.

The structure in POSCAR format:
```
Y3HfHg
1.0
5.552 0.000 0.000
0.000 5.552 0.000
0.000 0.000 5.552
Y Hf Hg
3 1 1
direct
0.000 0.000 0.500 Y
0.000 0.500 0.000 Y
0.500 0.000 0.000 Y
0.000 0.000 0.000 Hf
0.500 0.500 0.500 Hg
```

Calculated values
spin magnetization = 0.0 Bohr magnetons per cell
offset from the most stable computed form = 0.004 eV per atom
electronic total energy = -26.45 eV/f.u.

***

# 9
This record from the Alexandria database describes a geometry-optimized La5Ge2Pb2 structure. The functional is PBE-GGA.

The structure in POSCAR format:
```
La5Ge2Pb2
1.0
8.138 -4.187 0.000
8.138 4.187 0.000
0.000 0.000 8.397
La Ge Pb
10 4 4
direct
0.000 0.000 0.000 La
0.047 0.694 0.674 La
0.194 0.547 0.174 La
0.306 0.953 0.674 La
0.453 0.806 0.174 La
0.500 0.500 0.500 La
0.547 0.194 0.826 La
0.694 0.047 0.326 La
0.806 0.453 0.826 La
0.953 0.306 0.326 La
0.121 0.879 0.377 Ge
0.379 0.621 0.877 Ge
0.621 0.379 0.123 Ge
0.879 0.121 0.623 Ge
0.211 0.211 0.000 Pb
0.289 0.289 0.500 Pb
0.711 0.711 0.500 Pb
0.789 0.789 0.000 Pb
```

Calculated values
spin magnetization = 0.0 Bohr magnetons per cell
electronic total energy = -47.68 eV/f.u.

***

# 10
This record from the Alexandria database describes a geometry-optimized RbTl2InF6 structure. The functional is PBE-GGA.

The structure in POSCAR format:
```
RbTl2InF6
1.0
6.368 0.000 0.000
0.000 6.974 0.000
-6.274 0.000 9.388
Rb Tl In F
2 4 2 12
direct
0.000 0.000 0.000 Rb
0.000 0.500 0.500 Rb
0.224 0.040 0.734 Tl
0.224 0.460 0.234 Tl
0.776 0.540 0.766 Tl
0.776 0.960 0.266 Tl
0.500 0.000 0.500 In
0.500 0.500 0.000 In
0.194 0.156 0.478 F
0.194 0.344 0.978 F
0.260 0.743 0.923 F
0.260 0.757 0.423 F
0.384 0.073 0.289 F
0.384 0.427 0.789 F
0.616 0.573 0.211 F
0.616 0.927 0.711 F
0.740 0.243 0.577 F
0.740 0.257 0.077 F
0.806 0.656 0.022 F
0.806 0.844 0.522 F
```

Calculated values
spin magnetization = 0.0 Bohr magnetons per cell
electronic total energy = -43.00 eV/f.u.
formation energy from raw total energies = -53.8 kcal/mol of atoms

***

# 11
This record from the Alexandria database describes a geometry-optimized CaLa3H structure. The functional is PBE-GGA.

The structure in POSCAR format:
```
CaLa3H
1.0
5.921 0.000 0.000
0.000 5.921 0.000
0.000 0.000 5.921
Ca La H
1 3 1
direct
0.000 0.000 0.000 Ca
0.000 0.000 0.500 La
0.000 0.500 0.000 La
0.500 0.000 0.000 La
0.500 0.500 0.500 H
```

Calculated values
spin magnetization = 0.0 Bohr magnetons per cell
offset from the most stable computed form = 1.359 eV per atom
electronic total energy = -13.98 eV/f.u.

***

# 12
This record from the Alexandria database describes a geometry-optimized MnCd2Tc structure. The functional is PBE-GGA.

The structure in POSCAR format:
```
MnCd2Tc
1.0
-2.074 2.074 4.003
2.074 -2.074 4.003
2.074 2.074 -4.003
Mn Cd Tc
1 2 1
direct
0.000 0.000 0.000 Mn
0.500 0.500 0.000 Cd
0.750 0.250 0.500 Cd
0.250 0.750 0.500 Tc
```

Calculated values
spin magnetization = 2.9 Bohr magnetons per cell
offset from the most stable computed form = 0.260 eV per atom
electronic total energy = -19.60 eV/f.u.